# 1
VASP calculation (PBE) on a geometry-optimized NdCoN structure.

Its raw formation energy is -251 meV per atom. The value obtained for the calculated density is 8.5 g cm⁻³. The value obtained for the density of states at the Fermi level is 3.08 states/eV per cell.

The structure belongs to space group P-6m2 (No. 187); the cell edges are 3.5438, 3.5438 and 3.9031 Å and the angles 90.00°, 90.00° and 120.00°. Symmetry generates all atoms from Nd at (0.0000, 0.0000, 0.0000), Co at (0.6667, 0.3333, 0.5000) and N at (0.3333, 0.6667, 0.5000).

***

# 2
VASP calculation (PBE) on a geometry-optimized LaH3W structure.

The offset from the most stable computed form comes out at 0.000 eV per atom. The value obtained for the calculated density is 9.6 g cm⁻³. The value obtained for the density of states at the Fermi level is 0.47 states/eV per cell.

The structure belongs to space group Pm-3m (No. 221); the cell edges are 3.835, 3.835 and 3.835 Å and the angles 90.00°, 90.00° and 90.00°. Symmetry generates all atoms from La at (0.000, 0.000, 0.000), H at (0.000, 0.500, 0.500) and W at (0.500, 0.500, 0.500).

***

# 3
VASP calculation (PBE) on a geometry-optimized LaBe5 structure.

The energy of formation from the pure elements is 426 meV/atom. The value obtained for the calculated density is 3.9 g cm⁻³. The value obtained for the density of states at the Fermi level is 8.75 states/eV per cell.

The structure belongs to space group F-43m (No. 216); the cell edges are 6.814, 6.814 and 6.814 Å and the angles 90.00°, 90.00° and 90.00°. Symmetry generates all atoms from La at (0.000, 0.000, 0.000), Be at (0.123, 0.123, 0.623) and Be at (0.250, 0.250, 0.250).

***

# 4
VASP calculation (PBE) on a geometry-optimized Nd6Dy3ErTm2 structure.

The energy of formation from the pure elements is 13 meV/atom. The value obtained for the calculated density is 7.8 g cm⁻³. The value obtained for the density of states at the Fermi level is 25.69 states/eV per cell.

The structure belongs to space group C2/m (No. 12); the cell edges are 6.255, 10.832 and 11.797 Å and the angles 90.00°, 100.15° and 90.00°. Symmetry generates all atoms from Nd at (0.250, 0.000, 0.249), Nd at (0.250, 0.167, 0.751), Dy at (0.000, 0.000, 0.500), Dy at (0.000, 0.333, 0.500), Er at (0.000, 0.500, 0.000) and Tm at (0.000, 0.167, 0.000).

***

# 5
VASP calculation (PBE) on a geometry-optimized ScMn structure.

The energy of formation from the pure elements is 215 meV/atom. The value obtained for the calculated density is 5.0 g cm⁻³. The value obtained for the density of states at the Fermi level is 37.06 states/eV per cell.

The structure belongs to space group Fddd (No. 70, origin choice 2); the cell edges are 5.124, 8.162 and 12.696 Å and the angles 90.00°, 90.00° and 90.00°. Symmetry generates all atoms from Sc at (0.125, 0.293, 0.125) and Mn at (0.125, 0.125, 0.545).

***

# 6
VASP calculation (PBE) on a geometry-optimized LaRuPt structure.

The energy of formation from the pure elements is -215 meV/atom. The value obtained for the calculated density is 11.2 g cm⁻³. The value obtained for the density of states at the Fermi level is 7.55 states/eV per cell.

The structure belongs to space group I4mm (No. 107); the cell edges are 3.682, 3.682 and 9.506 Å and the angles 90.00°, 90.00° and 90.00°. Symmetry generates all atoms from La at (0.000, 0.000, 0.000), Ru at (0.000, 0.000, 0.272) and Pt at (0.000, 0.000, 0.699).

***

# 7
VASP calculation (PBE) on a geometry-optimized AsPtBr structure.

Its raw formation energy is 94 meV per atom. The offset from the most stable computed form comes out at 0.384 eV per atom. The value obtained for the calculated density is 9.0 g cm⁻³. The value obtained for the density of states at the Fermi level is 2.07 states/eV per cell.

The structure belongs to space group I4mm (No. 107); the cell edges are 3.225, 3.225 and 12.354 Å and the angles 90.00°, 90.00° and 90.00°. Symmetry generates all atoms from As at (0.000, 0.000, 0.000), Pt at (0.000, 0.000, 0.395) and Br at (0.000, 0.000, 0.733).

***

# 8
VASP calculation (PBE) on a geometry-optimized Rb3LaPu2Se6 structure.

Its raw formation energy is -1557 meV per atom. The value obtained for the calculated density is 5.7 g cm⁻³. The value obtained for the density of states at the Fermi level is 46.70 states/eV per cell.

The structure belongs to space group C2/m (No. 12); the cell edges are 7.575, 13.121 and 8.360 Å and the angles 90.00°, 107.59° and 90.00°. Symmetry generates all atoms from Rb at (0.000, 0.000, 0.000), Rb at (0.000, 0.335, 0.000), La at (0.000, 0.500, 0.500), Pu at (0.000, 0.167, 0.500), Se at (0.223, 0.000, 0.697) and Se at (0.237, 0.329, 0.697).